VASP calculation (GGA-PBE) on an optimized crystal structure of La3HfTc.

Unit cell a=5.448 b=5.448 c=5.448 alpha=90.00 beta=90.00 gamma=90.00
Fractional coordinates of all 5 atoms:
Hf  0.500  0.500  0.500
La  0.500  0.000  0.000
La  0.000  0.000  0.500
La  0.000  0.500  0.000
Tc  0.000  0.000  0.000

Summary:
Calculated total energy   -6.582 eV/atom
Relative energy among the computed polymorphs   0.0 meV/atom
Symmetry   Pm-3m, No. 221
Formation energy   0.4382 eV per atom
Fermi-level density of states   6.3 states/eV/f.u.